(1)
{
  "formula": "SiPtSe2",
  "functional": "PBE",
  "state": "relaxed",
  "lattice_angstrom": [[2.8638, 0.0000, 0.0000], [0.0000, 2.8638, 0.0000], [0.0000, 0.0000, 9.7825]],
  "species": ["Si", "Pt", "Se", "Se"],
  "frac_coords": [[0.0000, 0.0000, 0.0000], [0.5000, 0.5000, 0.1549], [0.0000, 0.0000, 0.3891], [0.5000, 0.5000, 0.7617]],
  "e_form_raw_ev_per_atom": 0.161
}

(2)
{
  "formula": "PaZnB12",
  "functional": "PBE",
  "state": "relaxed",
  "lattice_angstrom": [[4.0889, 0.0000, 0.0000], [0.0000, 4.0889, 0.0000], [0.0000, 0.0000, 8.3549]],
  "species": ["Pa", "Zn", "B", "B", "B", "B", "B", "B", "B", "B", "B", "B", "B", "B"],
  "frac_coords": [[0.0000, 0.0000, 0.0000], [0.0000, 0.0000, 0.5000], [0.1995, 0.5000, 0.2444], [0.1995, 0.5000, 0.7556], [0.5000, 0.1995, 0.2444], [0.5000, 0.1995, 0.7556], [0.5000, 0.5000, 0.0967], [0.5000, 0.5000, 0.3982], [0.5000, 0.5000, 0.6018], [0.5000, 0.5000, 0.9033], [0.5000, 0.8005, 0.2444], [0.5000, 0.8005, 0.7556], [0.8005, 0.5000, 0.2444], [0.8005, 0.5000, 0.7556]],
  "delta_e_f_ev_per_atom": -0.0206
}

(3)
{
  "formula": "Zr2NbRu2",
  "functional": "PBE",
  "state": "relaxed",
  "lattice_angstrom": [[7.4249, 0.0000, 0.0000], [0.0000, 7.4249, 0.0000], [0.0000, 0.0000, 3.3550]],
  "species": ["Zr", "Zr", "Zr", "Zr", "Nb", "Nb", "Ru", "Ru", "Ru", "Ru"],
  "frac_coords": [[0.1664, 0.3336, 0.0000], [0.3336, 0.8336, 0.0000], [0.6664, 0.1664, 0.0000], [0.8336, 0.6664, 0.0000], [0.0000, 0.0000, 0.5000], [0.5000, 0.5000, 0.5000], [0.1371, 0.6371, 0.5000], [0.3629, 0.1371, 0.5000], [0.6371, 0.8629, 0.5000], [0.8629, 0.3629, 0.5000]],
  "delta_e_f_ev_per_atom": -0.1641
}

(4)
{
  "formula": "CoSi23",
  "functional": "PBE",
  "state": "relaxed",
  "lattice_angstrom": [[10.1956, 0.0000, 0.0000], [0.0000, 10.1956, 0.0000], [0.0000, 0.0000, 10.1956]],
  "species": ["Co", "Co", "Si", "Si", "Si", "Si", "Si", "Si", "Si", "Si", "Si", "Si", "Si", "Si", "Si", "Si", "Si", "Si", "Si", "Si", "Si", "Si", "Si", "Si", "Si", "Si", "Si", "Si", "Si", "Si", "Si", "Si", "Si", "Si", "Si", "Si", "Si", "Si", "Si", "Si", "Si", "Si", "Si", "Si", "Si", "Si", "Si", "Si"],
  "frac_coords": [[0.0000, 0.0000, 0.0000], [0.5000, 0.5000, 0.5000], [0.0000, 0.1165, 0.3083], [0.0000, 0.1165, 0.6917], [0.0000, 0.2500, 0.5000], [0.0000, 0.7500, 0.5000], [0.0000, 0.8835, 0.3083], [0.0000, 0.8835, 0.6917], [0.1165, 0.3083, 0.0000], [0.1165, 0.6917, 0.0000], [0.1820, 0.1820, 0.1820], [0.1820, 0.1820, 0.8180], [0.1820, 0.8180, 0.1820], [0.1820, 0.8180, 0.8180], [0.1917, 0.3835, 0.5000], [0.1917, 0.6165, 0.5000], [0.2500, 0.5000, 0.0000], [0.3083, 0.0000, 0.1165], [0.3083, 0.0000, 0.8835], [0.3180, 0.3180, 0.3180], [0.3180, 0.3180, 0.6820], [0.3180, 0.6820, 0.3180], [0.3180, 0.6820, 0.6820], [0.3835, 0.5000, 0.1917], [0.3835, 0.5000, 0.8083], [0.5000, 0.0000, 0.2500], [0.5000, 0.0000, 0.7500], [0.5000, 0.1917, 0.3835], [0.5000, 0.1917, 0.6165], [0.5000, 0.8083, 0.3835], [0.5000, 0.8083, 0.6165], [0.6165, 0.5000, 0.1917], [0.6165, 0.5000, 0.8083], [0.6820, 0.3180, 0.3180], [0.6820, 0.3180, 0.6820], [0.6820, 0.6820, 0.3180], [0.6820, 0.6820, 0.6820], [0.6917, 0.0000, 0.1165], [0.6917, 0.0000, 0.8835], [0.7500, 0.5000, 0.0000], [0.8083, 0.3835, 0.5000], [0.8083, 0.6165, 0.5000], [0.8180, 0.1820, 0.1820], [0.8180, 0.1820, 0.8180], [0.8180, 0.8180, 0.1820], [0.8180, 0.8180, 0.8180], [0.8835, 0.3083, 0.0000], [0.8835, 0.6917, 0.0000]],
  "e_form_raw_ev_per_atom": 0.189
}

(5)
{
  "formula": "ZrSbP",
  "functional": "PBE",
  "state": "relaxed",
  "lattice_angstrom": [[3.9684, 0.0000, 0.0000], [0.0000, 3.9684, 0.0000], [0.0000, 0.0000, 8.2832]],
  "species": ["Zr", "Zr", "Sb", "Sb", "P", "P"],
  "frac_coords": [[0.2500, 0.2500, 0.1938], [0.7500, 0.7500, 0.8062], [0.2500, 0.7500, 0.5000], [0.7500, 0.2500, 0.5000], [0.2500, 0.2500, 0.8748], [0.7500, 0.7500, 0.1252]],
  "e_form_raw_ev_per_atom": -0.497
}

(6)
{
  "formula": "MnTc4Os",
  "functional": "PBE",
  "state": "relaxed",
  "lattice_angstrom": [[0.0000, 3.5695, 3.5695], [3.5695, 0.0000, 3.5695], [3.5695, 3.5695, 0.0000]],
  "species": ["Mn", "Tc", "Tc", "Tc", "Tc", "Os"],
  "frac_coords": [[0.0000, 0.0000, 0.0000], [0.1216, 0.6261, 0.6261], [0.6261, 0.1216, 0.6261], [0.6261, 0.6261, 0.1216], [0.6261, 0.6261, 0.6261], [0.2500, 0.2500, 0.2500]],
  "delta_e_f_ev_per_atom": 0.4045
}

E (eV per atom)
-4.45; -6.51; -9.31; -5.30; -6.52; -9.91
Density of states at the Fermi level (states/eV/f.u.)
2.58; 6.20; 5.13; 7.42; 0.56; 6.06
Total moment (μB per cell)
0.000; 1.015; 0.000; 4.051; 0.000; 2.618